Below is a PBEsol-optimized structure of TcSn3Bi, with properties calculated at the meta-GGA SCAN level.

The total energy is -219.6 eV/cell. The density of states at the Fermi level comes out at 1.339 states/eV/atom. The calculation puts the size of the total moment at 0.9 μB/f.u. As for the space group: Pm-3m (221). The value obtained for the formation energy is 354 meV/atom.

Unit cell a=5.146 b=5.146 c=5.146 alpha=90.00 beta=90.00 gamma=90.00
Element x y z (fractional)
Tc  0.000  0.000  0.000
Bi  0.500  0.500  0.500
Sn  0.000  0.500  0.000
Sn  0.000  0.000  0.500
Sn  0.500  0.000  0.000

Below is a PBEsol-optimized structure of SnBiTe3, with properties calculated at the meta-GGA SCAN level.

The total energy is -223.6 eV/cell. The density of states at the Fermi level comes out at 0.700 states/eV/atom. The calculation puts the size of the total moment at 0.0 μB/f.u. The value obtained for the uncorrected formation energy is 0.54 eV per atom. As for the space group: Pm-3m (221).

Unit cell a=5.777 b=5.777 c=5.777 alpha=90.00 beta=90.00 gamma=90.00
Element x y z (fractional)
Te  0.000  0.500  0.000
Te  0.000  0.000  0.500
Te  0.500  0.000  0.000
Bi  0.000  0.000  0.000
Sn  0.500  0.500  0.500

Below is a PBEsol-optimized structure of SnBi2Te, with properties calculated at the meta-GGA SCAN level.

The total energy is -460.1 eV/cell. The density of states at the Fermi level comes out at 0.514 states/eV/atom. The calculation puts the size of the total moment at 0.0 μB/f.u. The value obtained for the uncorrected formation energy is 0.06 eV per atom. As for the space group: I-42d (122).

Unit cell a=8.724 b=8.724 c=6.964 alpha=128.78 beta=128.78 gamma=90.00
Element x y z (fractional)
Te  0.250  0.750  0.500
Te  0.000  0.000  0.000
Bi  0.865  0.375  0.250
Bi  0.385  0.875  0.250
Bi  0.625  0.615  0.750
Bi  0.125  0.135  0.750
Sn  0.750  0.250  0.500
Sn  0.500  0.500  0.000

Below is a PBEsol-optimized structure of Tl2SnBi2, with properties calculated at the meta-GGA SCAN level.

The total energy is -674.7 eV/cell. The density of states at the Fermi level comes out at 0.390 states/eV/atom. The calculation puts the size of the total moment at 0.0 μB/f.u. As for the space group: P4/mbm (127). The value obtained for the formation energy is 89 meV/atom.

Unit cell a=4.951 b=8.054 c=8.054 alpha=90.00 beta=90.00 gamma=90.00
Element x y z (fractional)
Tl  0.500  0.172  0.672
Tl  0.500  0.672  0.828
Tl  0.500  0.828  0.328
Tl  0.500  0.328  0.172
Bi  0.000  0.366  0.866
Bi  0.000  0.866  0.634
Bi  0.000  0.634  0.134
Bi  0.000  0.134  0.366
Sn  0.000  0.000  0.000
Sn  0.000  0.500  0.500

Below is a PBEsol-optimized structure of TlSnBi3, with properties calculated at the meta-GGA SCAN level.

The total energy is -341.1 eV/cell. The density of states at the Fermi level comes out at 0.867 states/eV/atom. The calculation puts the size of the total moment at 0.0 μB/f.u. As for the space group: Pm-3m (221). The value obtained for the formation energy is 587 meV/atom.

Unit cell a=5.761 b=5.761 c=5.761 alpha=90.00 beta=90.00 gamma=90.00
Element x y z (fractional)
Tl  0.500  0.500  0.500
Bi  0.000  0.500  0.000
Bi  0.000  0.000  0.500
Bi  0.500  0.000  0.000
Sn  0.000  0.000  0.000

Below is a PBEsol-optimized structure of Y2Sn2Bi, with properties calculated at the meta-GGA SCAN level.

The total energy is -207.2 eV/cell. The density of states at the Fermi level comes out at 1.051 states/eV/atom. The calculation puts the size of the total moment at 0.0 μB/f.u. The calculation puts the energy above the most stable polymorph in this dataset at 2.20 eV per formula unit. As for the space group: I4/mmm (139). The value obtained for the formation energy is -215 meV/atom.

Unit cell a=5.304 b=5.304 c=6.718 alpha=113.25 beta=113.25 gamma=90.00
Element x y z (fractional)
Y  0.250  0.750  0.500
Y  0.750  0.250  0.500
Bi  0.000  0.000  0.000
Sn  0.379  0.379  0.759
Sn  0.621  0.621  0.241

Below is a PBEsol-optimized structure of Y3SnBi, with properties calculated at the meta-GGA SCAN level.

The total energy is -198.2 eV/cell. The density of states at the Fermi level comes out at 0.746 states/eV/atom. The calculation puts the size of the total moment at 0.0 μB/f.u. As for the space group: Pm-3m (221). The value obtained for the formation energy is -27 meV/atom.

Unit cell a=5.637 b=5.637 c=5.637 alpha=90.00 beta=90.00 gamma=90.00
Element x y z (fractional)
Y  0.000  0.500  0.000
Y  0.000  0.000  0.500
Y  0.500  0.000  0.000
Bi  0.000  0.000  0.000
Sn  0.500  0.500  0.500

Below is a PBEsol-optimized structure of Y2Sn2Bi, with properties calculated at the meta-GGA SCAN level.

The total energy is -209.4 eV/cell. The density of states at the Fermi level comes out at 0.499 states/eV/atom. The calculation puts the size of the total moment at 0.0 μB/f.u. The calculation puts the energy above the most stable polymorph in this dataset at 0.00 eV per formula unit. As for the space group: I4/mmm (139). The value obtained for the formation energy is -654 meV/atom.

Unit cell a=4.098 b=4.098 c=8.804 alpha=103.46 beta=103.46 gamma=90.00
Element x y z (fractional)
Y  0.398  0.398  0.796
Y  0.602  0.602  0.204
Bi  0.000  0.000  0.000
Sn  0.250  0.750  0.500
Sn  0.750  0.250  0.500

Below is a PBEsol-optimized structure of ZnSn3Bi, with properties calculated at the meta-GGA SCAN level.

The total energy is -194.7 eV/cell. The density of states at the Fermi level comes out at 0.808 states/eV/atom. The calculation puts the size of the total moment at 0.0 μB/f.u. As for the space group: Pm-3m (221). The value obtained for the formation energy is 1023 meV/atom.

Unit cell a=5.813 b=5.813 c=5.813 alpha=90.00 beta=90.00 gamma=90.00
Element x y z (fractional)
Zn  0.500  0.500  0.500
Bi  0.000  0.000  0.000
Sn  0.000  0.500  0.000
Sn  0.000  0.000  0.500
Sn  0.500  0.000  0.000

Below is a PBEsol-optimized structure of Zn2SnBi2, with properties calculated at the meta-GGA SCAN level.

The total energy is -218.6 eV/cell. The density of states at the Fermi level comes out at 0.294 states/eV/atom. The calculation puts the size of the total moment at 0.0 μB/f.u. As for the space group: I4/mmm (139). The value obtained for the formation energy is 295 meV/atom.

Unit cell a=4.652 b=4.652 c=6.769 alpha=110.10 beta=110.10 gamma=90.00
Element x y z (fractional)
Zn  0.401  0.401  0.802
Zn  0.599  0.599  0.198
Bi  0.250  0.750  0.500
Bi  0.750  0.250  0.500
Sn  0.000  0.000  0.000

Below is a PBEsol-optimized structure of ZrSn3Bi, with properties calculated at the meta-GGA SCAN level.

The total energy is -214.7 eV/cell. The density of states at the Fermi level comes out at 0.782 states/eV/atom. The calculation puts the size of the total moment at 0.0 μB/f.u. The calculation puts the energy above the most stable polymorph in this dataset at 0.00 eV per formula unit. As for the space group: Pm-3m (221). The value obtained for the formation energy is 474 meV/atom.

Unit cell a=5.485 b=5.485 c=5.485 alpha=90.00 beta=90.00 gamma=90.00
Element x y z (fractional)
Bi  0.500  0.500  0.500
Zr  0.000  0.000  0.000
Sn  0.000  0.500  0.000
Sn  0.000  0.000  0.500
Sn  0.500  0.000  0.000

Below is a PBEsol-optimized structure of Sr11Bi10, with properties calculated at the meta-GGA SCAN level.

The total energy is -2102.2 eV/cell. The density of states at the Fermi level comes out at 0.474 states/eV/atom. The calculation puts the size of the total moment at 0.0 μB/f.u. As for the space group: I4/mmm (139). The value obtained for the formation energy is -966 meV/atom.

Unit cell a=12.745 b=12.832 c=12.745 alpha=60.22 beta=90.00 gamma=119.78
Element x y z (fractional)
Sr  0.810  0.620  0.440
Sr  0.810  0.620  0.939
Sr  0.061  0.620  0.190
Sr  0.560  0.620  0.190
Sr  0.190  0.380  0.560
Sr  0.190  0.380  0.061
Sr  0.939  0.380  0.810
Sr  0.440  0.380  0.810
Sr  0.167  0.000  0.167
Sr  0.833  0.000  0.833
Sr  0.167  0.000  0.833
Sr  0.833  0.000  0.167
Sr  0.661  0.322  0.339
Sr  0.339  0.678  0.661
Sr  0.604  0.207  0.734
Sr  0.604  0.207  0.058
Sr  0.942  0.207  0.396
Sr  0.266  0.207  0.396
Sr  0.396  0.793  0.266
Sr  0.396  0.793  0.942
Sr  0.058  0.793  0.604
Sr  0.734  0.793  0.604
Bi  0.351  0.000  0.000
Bi  0.649  0.000  0.000
Bi  0.000  0.000  0.649
Bi  0.000  0.000  0.351
Bi  0.877  0.754  0.123
Bi  0.123  0.246  0.877
Bi  0.374  0.000  0.374
Bi  0.626  0.000  0.626
Bi  0.374  0.000  0.626
Bi  0.626  0.000  0.374
Bi  0.750  0.500  0.750
Bi  0.250  0.500  0.250
Bi  0.881  0.348  0.533
Bi  0.467  0.348  0.119
Bi  0.881  0.348  0.119
Bi  0.467  0.348  0.533
Bi  0.119  0.652  0.467
Bi  0.533  0.652  0.881
Bi  0.119  0.652  0.881
Bi  0.533  0.652  0.467